No. 1
Entry from Alexandria via LeMat-Bulk: Li2BeSi after structural relaxation (GGA-PBE).

Summary:
The total moment is 0.0 μB per formula unit. As for the crystal system: orthorhombic. As for the uncorrected formation energy: 0.022 eV per atom.

abc: 3.2507 3.7135 8.1556
angles: 90.00 90.00 90.00
Closest atoms and distances in Å follow each position.
Space group Immm (No. 71)
Symmetry-distinct sites (fractional):
1 Li 0.0000 0.0000 0.2469 [4 per cell]  4 Li 2.47, 2 Be 2.59, 4 Si 2.63-2.74
2 Be 0.0000 0.5000 0.5000 [2 per cell]  4 Si 2.47, 4 Li 2.59
3 Si 0.0000 0.5000 0.0000 [2 per cell]  4 Be 2.47, 8 Li 2.63-2.74

---

No. 2
Entry from Alexandria via LeMat-Bulk: LiBe2Si after structural relaxation (GGA-PBE).

Summary:
The total moment is 0.0 μB per formula unit. As for the crystal system: monoclinic. As for the uncorrected formation energy: 0.205 eV per atom.

abc: 8.5715 2.4349 4.2845
angles: 90.00 96.35 90.00
Closest atoms and distances in Å follow each position.
Space group C2/m (No. 12)
Symmetry-distinct sites (fractional):
1 Li 0.0000 0.0000 0.0000 [2 per cell]  2 Li 2.43, 4 Si 2.46, 6 Be 2.49-2.62
2 Be 0.2472 0.0000 0.7439 [4 per cell]  6 Be 2.42-2.51, 3 Li 2.49-2.62, 3 Si 2.51-2.56
3 Si 0.0000 0.5000 0.5000 [2 per cell]  2 Si 2.43, 4 Li 2.46, 6 Be 2.51-2.56

---

No. 3
Entry from Alexandria via LeMat-Bulk: LiBe2Si after structural relaxation (GGA-PBE).

Summary:
The total moment is 0.0 μB per formula unit. As for the crystal system: tetragonal. As for the uncorrected formation energy: 0.155 eV per atom.

abc: 3.6452 3.6452 6.5193
angles: 90.00 90.00 90.00
Closest atoms and distances in Å follow each position.
Space group I4/mmm (No. 139)
Symmetry-distinct sites (fractional):
1 Li 0.0000 0.0000 0.0000 [2 per cell]  8 Be 2.45, 4 Si 2.58
2 Be 0.0000 0.5000 0.2500 [4 per cell]  4 Li 2.45, 4 Si 2.45, 4 Be 2.58
3 Si 0.0000 0.0000 0.5000 [2 per cell]  8 Be 2.45, 4 Li 2.58

---

No. 4
Entry from Alexandria via LeMat-Bulk: LiBe2Si2 after structural relaxation (GGA-PBE).

Summary:
The total moment is 0.0 μB per formula unit. As for the crystal system: tetragonal. As for the uncorrected formation energy: 0.171 eV per atom.

abc: 6.9108 6.9108 2.5804
angles: 90.00 90.00 90.00
Closest atoms and distances in Å follow each position.
Space group P4/mbm (No. 127)
Symmetry-distinct sites (fractional):
1 Li 0.0000 0.0000 0.0000 [2 per cell]  2 Li 2.58, 4 Be 2.74, 8 Si 2.87
2 Be 0.1224 0.3776 0.0000 [4 per cell]  6 Si 2.39-2.43, 3 Be 2.39-2.58
3 Si 0.1718 0.6718 0.5000 [4 per cell]  6 Be 2.39-2.43, 2 Si 2.58

---

| no. | electronic total energy (eV/atom) |
| --- | --- |
| 1 | -3.22 |
| 2 | -3.49 |
| 3 | -3.54 |
| 4 | -3.87 |